The following is a PBE-GGA calculation of an optimized crystal structure of KNiMo2, from Alexandria via LeMat-Bulk.

Lattice parameters (Å, degrees): 6.380 6.380 6.380 90.00 90.00 90.00
Space group Fm-3m (No. 225)
Unique sites:
K (0.000, 0.000, 0.000) (multiplicity 4)
Ni (0.000, 0.000, 0.500) (multiplicity 4)
Mo (0.250, 0.250, 0.250) (multiplicity 8)

Properties
spin magnetization = 0.0 μB/f.u.
calculated formation energy = 1.702 eV per atom
final energy = -0.1997 hartree per atom